Compound: Tl3Zn2Cl2F5
Source: Alexandria
Functional: PBE-GGA
Structure: optimized geometry

## Properties
**Volume**: 19.261 A^3/atom
**N(E_F)**: 0.0 states/eV per cell
**Symmetry**: No. 139
**Raw formation energy**: -1.766 eV per atom
**ρ**: 6.54 g/cm3

a = 12.4193 Å, b = 12.4193 Å, c = 12.4193 Å
α = 159.67°, β = 159.67°, γ = 28.91°
Positions (direct):
Tl1 0.0000 0.0000 0.0000
Tl2 0.1677 0.1677 0.0000
Tl3 0.8323 0.8323 0.0000
Zn1 0.4157 0.4157 0.0000
Zn2 0.5843 0.5843 0.0000
Cl1 0.3163 0.3163 0.0000
Cl2 0.6837 0.6837 0.0000
F1 0.0831 0.5831 0.5000
F2 0.4169 0.9169 0.5000
F3 0.5000 0.5000 0.0000
F4 0.5831 0.0831 0.5000
F5 0.9169 0.4169 0.5000